The following is a DFT calculation (PBE) of SrBeCr2 after structural relaxation.

The structure in extended XYZ format:
```
4
Lattice="3.205 0.000 0.000 0.000 3.205 0.000 0.000 0.000 6.743" Properties=species:S:1:pos:R:3 pbc="T T T"
Cr 0.000 0.000 4.135
Cr 0.000 0.000 5.978
Sr 1.603 1.602 1.686
Be 1.603 1.602 5.057
```

Calculated volume   17.3 Å³/atom
Energy   -5.5464 eV/atom
Symmetry   No. 123
Size of the total moment   0.32 μB/f.u.